Entry 1:
# ScIr2Cl | Alexandria | PBEsol | relaxed
# ρ: 12.417 g/cm³
# N(E_F): 6.8 states/eV per cell
# VASP energy: -57.61 eV per cell
# total magnetization: 0.000 μB per atom
data_ScIr2Cl
_chemical_formula_sum 'Sc2 Ir4 Cl2'
_space_group_name_H-M_alt 'C 1 2/m 1'
_space_group_IT_number 12
_space_group_name_Hall '-C 2y'
_cell_length_a 5.324
_cell_length_b 9.507
_cell_length_c 2.873
_cell_angle_alpha 90.00
_cell_angle_beta 121.24
_cell_angle_gamma 90.00
loop_
_atom_site_label
_atom_site_fract_x
_atom_site_fract_y
_atom_site_fract_z
_atom_site_occupancy
Sc1 0.000 0.000 0.000 1
Ir1 0.250 0.250 0.500 1
Cl1 0.000 0.500 0.000 1

---

Entry 2:
# IrSeCl2 | Alexandria | PBEsol | relaxed
# ρ: 5.372 g/cm³
# N(E_F): 5.6 states/eV per cell
# VASP energy: -34.51 eV per cell
# total magnetization: 0.261 μB per atom
data_IrSeCl2
_chemical_formula_sum 'Ir2 Se2 Cl4'
_space_group_name_H-M_alt 'I m m 2'
_space_group_IT_number 44
_space_group_name_Hall 'I 2 -2'
_cell_length_a 3.524
_cell_length_b 5.106
_cell_length_c 11.751
_cell_angle_alpha 90.00
_cell_angle_beta 90.00
_cell_angle_gamma 90.00
loop_
_atom_site_label
_atom_site_fract_x
_atom_site_fract_y
_atom_site_fract_z
_atom_site_occupancy
Ir1 0.000 0.000 0.000 1
Se1 0.000 0.500 0.631 1
Cl1 0.000 0.000 0.592 1
Cl2 0.000 0.500 0.362 1

---

Entry 3:
# IrSeCl | Alexandria | PBEsol | relaxed
# ρ: 7.928 g/cm³
# VASP energy: -16.67 eV per cell
# total magnetization: 0.000 μB per atom
data_IrSeCl
_chemical_formula_sum 'Ir1 Se1 Cl1'
_space_group_name_H-M_alt 'P 3 m 1'
_space_group_IT_number 156
_space_group_name_Hall 'P 3 -2"'
_cell_length_a 3.5714
_cell_length_b 3.5714
_cell_length_c 5.8142
_cell_angle_alpha 90.00
_cell_angle_beta 90.00
_cell_angle_gamma 120.00
loop_
_atom_site_label
_atom_site_fract_x
_atom_site_fract_y
_atom_site_fract_z
_atom_site_occupancy
Ir1 0.0000 0.0000 0.0000 1
Se1 0.6667 0.3333 0.7864 1
Cl1 0.3333 0.6667 0.2457 1

---

Entry 4:
# IrSeCl2 | Alexandria | PBEsol | relaxed
# ρ: 7.253 g/cm³
# N(E_F): 2.5 states/eV per cell
# VASP energy: -16.75 eV per cell
# total magnetization: 0.000 μB per atom
data_IrSeCl2
_chemical_formula_sum 'Ir1 Se1 Cl2'
_space_group_name_H-M_alt 'P m m 2'
_space_group_IT_number 25
_space_group_name_Hall 'P 2 -2'
_cell_length_a 2.906
_cell_length_b 3.180
_cell_length_c 8.477
_cell_angle_alpha 90.00
_cell_angle_beta 90.00
_cell_angle_gamma 90.00
loop_
_atom_site_label
_atom_site_fract_x
_atom_site_fract_y
_atom_site_fract_z
_atom_site_occupancy
Ir1 0.000 0.000 0.000 1
Se1 0.500 0.500 0.841 1
Cl1 0.000 0.000 0.564 1
Cl2 0.500 0.500 0.203 1